The following is a SCAN calculation of a crystal of NaCr2Os relaxed with PBEsol, from Alexandria via LeMat-Bulk.

Lattice parameters (Å, degrees): 4.255 4.255 4.255 60.00 60.00 60.00
Positions (direct):
Cr1 0.250 0.250 0.250
Cr2 0.750 0.750 0.750
Os1 0.500 0.500 0.500
Na1 0.000 0.000 0.000

Computed properties:
- Total DFT energy (no corrections): -27.53 eV per atom
- V: 54 Å³ per cell
- D(E_F): 0.457 states/eV/atom
- Total magnetization: 3.3 μB/cell
- Formation energy: 683 meV per atom


The following is a SCAN calculation of a crystal of SrScAg relaxed with PBEsol, from Alexandria via LeMat-Bulk.

Lattice parameters (Å, degrees): 4.073 4.073 6.513 90.00 90.00 120.00
Positions (direct):
Ag1 0.000 0.000 0.957
Sc1 0.333 0.667 0.757
Sr1 0.667 0.333 0.287

Computed properties:
- Total DFT energy (no corrections): -22.52 eV per atom
- V: 94 Å³ per cell
- D(E_F): 0.727 states/eV/atom
- Total magnetization: 0.2 μB/cell
- Formation energy: 109 meV per atom


The following is a SCAN calculation of a crystal of Li2TeCl relaxed with PBEsol, from Alexandria via LeMat-Bulk.

Lattice parameters (Å, degrees): 4.698 4.978 4.698 118.15 90.00 118.15
Positions (direct):
Cl1 0.000 0.000 0.000
Te1 0.500 0.000 0.500
Li1 0.750 0.500 0.250
Li2 0.250 0.500 0.750

Computed properties:
- Total DFT energy (no corrections): -13.38 eV per atom
- V: 82 Å³ per cell
- D(E_F): 0.455 states/eV/atom
- Total magnetization: 0.9 μB/cell
- Energy relative to the elements, uncorrected: -85.0 kJ per mole of atoms


The following is a SCAN calculation of a crystal of Sr2WSe relaxed with PBEsol, from Alexandria via LeMat-Bulk.

Lattice parameters (Å, degrees): 3.733 3.733 7.662 90.00 90.00 90.00
Positions (direct):
Se1 0.500 0.500 0.500
Sr1 0.000 0.000 0.732
Sr2 0.000 0.000 0.268
W1 0.500 0.500 0.000

Computed properties:
- Total DFT energy (no corrections): -33.44 eV per atom
- V: 107 Å³ per cell
- D(E_F): 0.518 states/eV/atom
- Total magnetization: 3.9 μB/cell
- Energy relative to the elements, uncorrected: 13.7 kJ per mole of atoms


The following is a SCAN calculation of a crystal of NbSb2TeOs relaxed with PBEsol, from Alexandria via LeMat-Bulk.

Lattice parameters (Å, degrees): 4.943 4.943 5.468 90.00 90.00 90.00
Positions (direct):
Sb1 0.000 0.500 0.000
Sb2 0.500 0.000 0.000
Nb1 0.500 0.500 0.500
Te1 0.000 0.000 0.500
Os1 0.000 0.000 0.000

Computed properties:
- Total DFT energy (no corrections): -42.34 eV per atom
- V: 134 Å³ per cell
- D(E_F): 0.576 states/eV/atom
- Total magnetization: 3.1 μB/cell
- Energy relative to the elements, uncorrected: 97.6 kJ per mole of atoms


The following is a SCAN calculation of a crystal of HfZrOs2 relaxed with PBEsol, from Alexandria via LeMat-Bulk.

Lattice parameters (Å, degrees): 4.569 4.569 4.569 60.00 60.00 60.00
Positions (direct):
Hf1 0.500 0.500 0.500
Os1 0.250 0.250 0.250
Os2 0.750 0.750 0.750
Zr1 0.000 0.000 0.000

Computed properties:
- Total DFT energy (no corrections): -60.12 eV per atom
- V: 67 Å³ per cell
- D(E_F): 0.177 states/eV/atom
- Total magnetization: 0.0 μB/cell
- Formation energy: -834 meV per atom


The following is a SCAN calculation of a crystal of YTa2NiSe relaxed with PBEsol, from Alexandria via LeMat-Bulk.

Lattice parameters (Å, degrees): 4.600 4.600 4.894 90.00 90.00 90.00
Positions (direct):
Y1 0.500 0.500 0.500
Ni1 0.000 0.000 0.000
Se1 0.000 0.000 0.500
Ta1 0.000 0.500 0.000
Ta2 0.500 0.000 0.000

Computed properties:
- Total DFT energy (no corrections): -38.83 eV per atom
- V: 104 Å³ per cell
- D(E_F): 1.494 states/eV/atom
- Total magnetization: 0.0 μB/cell
- Energy relative to the elements, uncorrected: 60.4 kJ per mole of atoms


The following is a SCAN calculation of a crystal of KTl2In relaxed with PBEsol, from Alexandria via LeMat-Bulk.

Lattice parameters (Å, degrees): 5.451 5.451 5.451 60.00 60.00 60.00
Positions (direct):
Tl1 0.000 0.000 0.000
Tl2 0.750 0.750 0.750
K1 0.250 0.250 0.250
In1 0.500 0.500 0.500

Computed properties:
- Total DFT energy (no corrections): -46.69 eV per atom
- V: 115 Å³ per cell
- D(E_F): 0.248 states/eV/atom
- Total magnetization: 0.0 μB/cell
- Formation energy: -77 meV per atom


The following is a SCAN calculation of a crystal of In3RePt relaxed with PBEsol, from Alexandria via LeMat-Bulk.

Lattice parameters (Å, degrees): 5.052 5.052 5.052 90.00 90.00 90.00
Positions (direct):
Re1 0.000 0.000 0.000
Pt1 0.500 0.500 0.500
In1 0.000 0.500 0.000
In2 0.000 0.000 0.500
In3 0.500 0.000 0.000

Computed properties:
- Total DFT energy (no corrections): -47.25 eV per atom
- V: 129 Å³ per cell
- D(E_F): 0.830 states/eV/atom
- Total magnetization: 1.9 μB/cell
- Formation energy: 1038 meV per atom


The following is a SCAN calculation of a crystal of NiMoBr relaxed with PBEsol, from Alexandria via LeMat-Bulk.

Lattice parameters (Å, degrees): 4.147 4.147 4.147 60.00 60.00 60.00
Positions (direct):
Br1 0.500 0.500 0.500
Mo1 0.250 0.250 0.250
Ni1 0.000 0.000 0.000

Computed properties:
- Total DFT energy (no corrections): -22.56 eV per atom
- V: 50 Å³ per cell
- D(E_F): 0.647 states/eV/atom
- Total magnetization: 0.9 μB/cell
- Energy relative to the elements, uncorrected: 91.0 kJ per mole of atoms


The following is a SCAN calculation of a crystal of KCd2 relaxed with PBEsol, from Alexandria via LeMat-Bulk.

Lattice parameters (Å, degrees): 6.197 6.197 6.197 60.00 60.00 60.00
Positions (direct):
K1 0.500 0.500 0.500
K2 0.750 0.750 0.750
Cd1 0.125 0.125 0.125
Cd2 0.125 0.125 0.625
Cd3 0.125 0.625 0.125
Cd4 0.625 0.125 0.125

Computed properties:
- Total DFT energy (no corrections): -23.16 eV per atom
- V: 168 Å³ per cell
- D(E_F): 0.530 states/eV/atom
- Total magnetization: 0.0 μB/cell
- Formation energy: -107 meV per atom


The following is a SCAN calculation of a crystal of Co12Ge4C relaxed with PBEsol, from Alexandria via LeMat-Bulk.

Lattice parameters (Å, degrees): 3.588 3.588 13.953 90.00 90.00 90.00
Positions (direct):
Co1 0.500 0.500 0.868
Co2 0.500 0.500 0.132
Co3 0.500 0.500 0.379
Co4 0.500 0.500 0.621
Co5 0.500 0.000 0.000
Co6 0.500 0.000 0.256
Co7 0.500 0.000 0.500
Co8 0.500 0.000 0.744
Co9 0.000 0.500 0.000
Co10 0.000 0.500 0.256
Co11 0.000 0.500 0.500
Co12 0.000 0.500 0.744
Ge1 0.000 0.000 0.861
Ge2 0.000 0.000 0.139
Ge3 0.000 0.000 0.378
Ge4 0.000 0.000 0.622
C1 0.500 0.500 0.000

Computed properties:
- Total DFT energy (no corrections): -17.23 eV per atom
- V: 180 Å³ per cell
- D(E_F): 0.573 states/eV/atom
- Total magnetization: 9.9 μB/cell
- Formation energy: 68 meV per atom